Nd8ErTm4: optimized geometry, PBE.

Calculated values
E_tot   -4.463 eV per atom
Energy of formation   0.198 eV/atom

Structure (CIF):
```
data_Nd8ErTm4
_chemical_formula_sum 'Nd24 Er3 Tm12'
_symmetry_space_group_name_H-M 'R -3 m'
_symmetry_Int_Tables_number 166
_symmetry_space_group_name_Hall '-R 3 2"'
_cell_length_a 7.2316
_cell_length_b 7.2316
_cell_length_c 29.1136
_cell_angle_alpha 90.00
_cell_angle_beta 90.00
_cell_angle_gamma 120.00
loop_
_atom_site_label
_atom_site_fract_x
_atom_site_fract_y
_atom_site_fract_z
Nd1 0.0000 0.0000 0.2123
Nd2 0.0274 0.5137 0.7627
Er1 0.0000 0.0000 0.5000
Tm1 0.0000 0.0000 0.0000
Tm2 0.0000 0.5000 0.0000
```